--- w ---
Below is crystalline AlTlSeBr2 at its relaxed geometry, with properties calculated at the PBE level.

POSCAR file:
```
AlTlSeBr2
1.0
-4.599 0.052 -3.368
3.362 -0.270 -4.596
-0.191 -5.382 0.177
Tl Al Br Se
1 1 2 1
direct
0.000 0.000 0.000
0.500 0.500 0.500
0.000 0.500 0.000
0.500 0.000 0.000
0.000 0.000 0.500
```

--- x ---
Below is crystalline AlTlSeBr2 at its relaxed geometry, with properties calculated at the PBE level.

POSCAR file:
```
AlTlSeBr2
1.0
5.288 0.000 0.000
0.000 5.288 0.000
0.000 0.000 4.915
Se Br Tl Al
1 2 1 1
direct
0.000 0.000 0.500
0.000 0.500 0.000
0.500 0.000 0.000
0.500 0.500 0.500
0.000 0.000 0.000
```

Winner for stability: x

--- w ---
Below is crystalline AlVSeBr2 at its relaxed geometry, with properties calculated at the PBE level.

POSCAR file:
```
AlVSeBr2
1.0
5.276 0.000 0.000
0.000 5.276 0.000
0.000 0.000 4.811
Br Al V Se
2 1 1 1
direct
0.000 0.500 0.000
0.500 0.000 0.000
0.500 0.500 0.500
0.000 0.000 0.000
0.000 0.000 0.500
```

--- x ---
Below is crystalline AlVSeBr2 at its relaxed geometry, with properties calculated at the PBE level.

POSCAR file:
```
AlVSeBr2
1.0
5.006 0.000 0.000
0.000 5.006 0.000
0.000 0.000 5.108
Se Br V Al
1 2 1 1
direct
0.000 0.000 0.500
0.500 0.000 0.000
0.000 0.500 0.000
0.500 0.500 0.500
0.000 0.000 0.000
```

Winner for stability: w